# 1
Below is a relaxed AcMg5Zn2 crystal, with properties calculated at the PBE level.

abc: 7.105 7.105 7.105
angles: 144.65 108.26 82.59
Atoms (fractional coordinates):
Ac 0.000 0.000 0.000
Mg 0.158 0.346 0.812
Mg 0.466 0.654 0.812
Mg 0.500 0.000 0.500
Mg 0.534 0.346 0.188
Mg 0.842 0.654 0.188
Zn 0.239 0.739 0.500
Zn 0.761 0.261 0.500

Symmetry: No. 71
Formation enthalpy at 0 K: -0.16 eV/atom
Magnetization: 0.00 μB per formula unit
Density of states at the Fermi level: 0.452 states/eV/atom
V: 23.97 A^3/atom



# 2
Below is a relaxed AcMg9Zn2 crystal, with properties calculated at the PBE level.

abc: 9.320 9.320 9.320
angles: 99.85 99.85 131.13
Atoms (fractional coordinates):
Ac 0.375 0.625 0.750
Ac 0.625 0.375 0.250
Mg 0.125 0.875 0.250
Mg 0.136 0.563 0.327
Mg 0.136 0.809 0.573
Mg 0.191 0.264 0.327
Mg 0.191 0.864 0.927
Mg 0.264 0.191 0.827
Mg 0.264 0.437 0.073
Mg 0.437 0.264 0.573
Mg 0.437 0.864 0.173
Mg 0.563 0.136 0.827
Mg 0.563 0.736 0.427
Mg 0.736 0.563 0.927
Mg 0.736 0.809 0.173
Mg 0.809 0.136 0.073
Mg 0.809 0.736 0.673
Mg 0.864 0.191 0.427
Mg 0.864 0.437 0.673
Mg 0.875 0.125 0.750
Zn 0.000 0.000 0.000
Zn 0.000 0.000 0.500
Zn 0.000 0.500 0.000
Zn 0.500 0.000 0.500

Symmetry: No. 141
Formation enthalpy at 0 K: -0.11 eV/atom
Magnetization: 0.00 μB per formula unit
Density of states at the Fermi level: 0.447 states/eV/atom
V: 23.13 A^3/atom



# 3
Below is a relaxed AcMgZn11 crystal, with properties calculated at the PBE level.

abc: 7.008 7.008 7.013
angles: 98.61 98.61 134.29
Atoms (fractional coordinates):
Ac 0.000 0.000 0.000
Mg 0.000 0.000 0.500
Zn 0.000 0.500 0.000
Zn 0.005 0.366 0.355
Zn 0.278 0.509 0.778
Zn 0.366 0.005 0.355
Zn 0.491 0.722 0.222
Zn 0.500 0.000 0.000
Zn 0.500 0.500 0.500
Zn 0.509 0.278 0.778
Zn 0.634 0.995 0.645
Zn 0.722 0.491 0.222
Zn 0.995 0.634 0.645

Symmetry: No. 12
Formation enthalpy at 0 K: -0.15 eV/atom
Magnetization: 0.00 μB per formula unit
Density of states at the Fermi level: 0.269 states/eV/atom
V: 17.50 A^3/atom



# 4
Below is a relaxed Ac3Mg8Zn crystal, with properties calculated at the PBE level.

abc: 10.753 10.753 10.753
angles: 33.85 33.85 33.85
Atoms (fractional coordinates):
Ac 0.000 0.000 0.000
Ac 0.127 0.127 0.127
Ac 0.615 0.615 0.615
Mg 0.060 0.060 0.559
Mg 0.060 0.559 0.060
Mg 0.063 0.562 0.562
Mg 0.311 0.311 0.311
Mg 0.559 0.060 0.060
Mg 0.562 0.063 0.562
Mg 0.562 0.562 0.063
Mg 0.811 0.811 0.811
Zn 0.492 0.492 0.492

Symmetry: No. 160
Formation enthalpy at 0 K: -0.04 eV/atom
Magnetization: 0.00 μB per formula unit
Density of states at the Fermi level: 0.688 states/eV/atom
V: 28.65 A^3/atom



# 5
Below is a relaxed Ac3MgZn crystal, with properties calculated at the PBE level.

abc: 11.111 11.111 5.707
angles: 90.00 90.00 150.17
Atoms (fractional coordinates):
Ac 0.066 0.934 0.750
Ac 0.250 0.750 0.750
Ac 0.432 0.568 0.750
Ac 0.568 0.432 0.250
Ac 0.750 0.250 0.250
Ac 0.934 0.066 0.250
Mg 0.157 0.843 0.250
Mg 0.843 0.157 0.750
Zn 0.342 0.658 0.250
Zn 0.658 0.342 0.750

Symmetry: No. 63
Formation enthalpy at 0 K: -0.10 eV/atom
Magnetization: 0.00 μB per formula unit
Density of states at the Fermi level: 1.200 states/eV/atom
V: 35.05 A^3/atom



# 6
Below is a relaxed Ac2Mg12Zn5 crystal, with properties calculated at the PBE level.

abc: 7.609 7.609 7.609
angles: 82.98 82.98 82.98
Atoms (fractional coordinates):
Ac 0.169 0.169 0.169
Ac 0.831 0.831 0.831
Mg 0.157 0.157 0.646
Mg 0.157 0.646 0.157
Mg 0.208 0.500 0.792
Mg 0.208 0.792 0.500
Mg 0.354 0.843 0.843
Mg 0.500 0.208 0.792
Mg 0.500 0.792 0.208
Mg 0.646 0.157 0.157
Mg 0.792 0.208 0.500
Mg 0.792 0.500 0.208
Mg 0.843 0.354 0.843
Mg 0.843 0.843 0.354
Zn 0.000 0.500 0.500
Zn 0.409 0.409 0.409
Zn 0.500 0.000 0.500
Zn 0.500 0.500 0.000
Zn 0.591 0.591 0.591

Symmetry: No. 166
Formation enthalpy at 0 K: -0.13 eV/atom
Magnetization: 0.00 μB per formula unit
Density of states at the Fermi level: 0.424 states/eV/atom
V: 22.71 A^3/atom



# 7
Below is a relaxed AcMgZn10 crystal, with properties calculated at the PBE level.

abc: 4.365 5.271 9.502
angles: 90.00 90.00 90.00
Atoms (fractional coordinates):
Ac 0.000 0.000 0.000
Mg 0.000 0.500 0.500
Zn 0.000 0.000 0.352
Zn 0.000 0.000 0.648
Zn 0.000 0.500 0.204
Zn 0.000 0.500 0.796
Zn 0.500 0.000 0.500
Zn 0.500 0.246 0.248
Zn 0.500 0.246 0.752
Zn 0.500 0.500 0.000
Zn 0.500 0.754 0.248
Zn 0.500 0.754 0.752

Symmetry: No. 47
Formation enthalpy at 0 K: -0.13 eV/atom
Magnetization: 0.00 μB per formula unit
Density of states at the Fermi level: 0.344 states/eV/atom
V: 18.22 A^3/atom



# 8
Below is a relaxed Ac4MgZn2 crystal, with properties calculated at the PBE level.

abc: 9.475 9.475 9.475
angles: 34.27 34.27 34.27
Atoms (fractional coordinates):
Ac 0.118 0.118 0.118
Ac 0.370 0.370 0.370
Ac 0.630 0.630 0.630
Ac 0.882 0.882 0.882
Mg 0.500 0.500 0.500
Zn 0.245 0.245 0.245
Zn 0.755 0.755 0.755

Symmetry: No. 166
Formation enthalpy at 0 K: -0.07 eV/atom
Magnetization: 0.00 μB per formula unit
Density of states at the Fermi level: 1.318 states/eV/atom
V: 34.36 A^3/atom



# 9
Below is a relaxed AcMgZn crystal, with properties calculated at the PBE level.

abc: 7.726 7.726 4.808
angles: 90.00 90.00 120.00
Atoms (fractional coordinates):
Ac 0.000 0.580 0.000
Ac 0.420 0.420 0.000
Ac 0.580 0.000 0.000
Mg 0.000 0.234 0.500
Mg 0.234 0.000 0.500
Mg 0.766 0.766 0.500
Zn 0.000 0.000 0.000
Zn 0.333 0.667 0.500
Zn 0.667 0.333 0.500

Energy above the most stable polymorph in this dataset: 0.0 meV per atom
Symmetry: No. 189
Formation enthalpy at 0 K: -0.23 eV/atom
Magnetization: 0.00 μB per formula unit
Density of states at the Fermi level: 1.060 states/eV/atom
V: 27.62 A^3/atom



# 10
Below is a relaxed AcMg3Zn crystal, with properties calculated at the PBE level.

abc: 5.149 5.149 5.149
angles: 90.00 90.00 90.00
Atoms (fractional coordinates):
Ac 0.000 0.000 0.000
Mg 0.000 0.500 0.500
Mg 0.500 0.000 0.500
Mg 0.500 0.500 0.000
Zn 0.500 0.500 0.500

Energy above the most stable polymorph in this dataset: 137.6 meV per atom
Symmetry: No. 221
Formation enthalpy at 0 K: 0.03 eV/atom
Magnetization: 0.00 μB per formula unit
Density of states at the Fermi level: 0.811 states/eV/atom
V: 27.30 A^3/atom



# 11
Below is a relaxed AcMg3Zn8 crystal, with properties calculated at the PBE level.

abc: 10.869 10.869 10.869
angles: 27.16 27.16 27.16
Atoms (fractional coordinates):
Ac 0.000 0.000 0.000
Mg 0.124 0.124 0.124
Mg 0.497 0.497 0.497
Mg 0.598 0.598 0.598
Zn 0.049 0.049 0.549
Zn 0.049 0.549 0.049
Zn 0.076 0.575 0.575
Zn 0.287 0.287 0.287
Zn 0.549 0.049 0.049
Zn 0.575 0.076 0.575
Zn 0.575 0.575 0.076
Zn 0.813 0.813 0.813

Symmetry: No. 160
Formation enthalpy at 0 K: -0.14 eV/atom
Magnetization: 0.00 μB per formula unit
Density of states at the Fermi level: 0.457 states/eV/atom
V: 19.67 A^3/atom



# 12
Below is a relaxed Ac2MgZn6 crystal, with properties calculated at the PBE level.

abc: 6.145 6.145 6.155
angles: 90.00 90.00 120.00
Atoms (fractional coordinates):
Ac 0.333 0.667 0.152
Ac 0.667 0.333 0.848
Mg 0.000 0.000 0.000
Zn 0.179 0.358 0.648
Zn 0.179 0.821 0.648
Zn 0.358 0.179 0.352
Zn 0.642 0.821 0.648
Zn 0.821 0.179 0.352
Zn 0.821 0.642 0.352

Symmetry: No. 164
Formation enthalpy at 0 K: -0.24 eV/atom
Magnetization: 0.00 μB per formula unit
Density of states at the Fermi level: 0.364 states/eV/atom
V: 22.37 A^3/atom